An optimized crystal structure of Tb3Y5Ho4, computed with PBE.

extended XYZ file:
```
12
Lattice="5.864 0.000 0.000 2.932 7.523 -2.814 2.932 -0.774 9.127" Properties=species:S:1:pos:R:3 pbc="T T T"
Ho 5.864 1.618 -0.082
Ho 8.795 6.865 0.778
Ho 5.864 5.131 6.395
Ho 2.932 -0.116 5.535
Tb 5.864 4.958 0.533
Tb 5.864 1.791 5.780
Tb 2.932 3.374 3.156
Y 8.795 3.381 6.572
Y 2.932 0.236 1.695
Y 8.795 6.513 4.618
Y 5.864 3.374 3.156
Y 2.932 3.368 -0.260
```

Output
Symmetry: C2/m, No. 12
Raw total energy (Ha/atom): -0.189
Energy of formation (eV per atom): 0.24
Density of states at the Fermi level (states/eV per atom): 1.657
Theoretical density (g/cm³): 6.734
Distance to the lowest polymorph of the same formula (meV per atom): 219
Magnetization (μB/atom): 0.04

=====

An optimized crystal structure of Tb7YHo2, computed with PBE.

extended XYZ file:
```
10
Lattice="6.088 0.196 -0.935 0.977 7.510 -5.563 -1.659 -2.409 8.939" Properties=species:S:1:pos:R:3 pbc="T T T"
Y 0.000 0.000 0.000
Tb 5.482 1.749 2.204
Tb -0.076 3.547 0.237
Tb 4.954 -0.227 5.099
Tb 0.452 5.523 -2.659
Tb 3.006 1.875 -0.351
Tb 3.532 3.853 -3.249
Tb 2.400 3.421 2.791
Ho 2.924 5.412 -0.114
Ho 2.482 -0.116 2.554
```

Output
Symmetry: P-1, No. 2
Raw total energy (Ha/atom): -0.176
Energy of formation (eV per atom): 0.02
Density of states at the Fermi level (states/eV per atom): 1.436
Theoretical density (g/cm³): 8.004
Distance to the lowest polymorph of the same formula (meV per atom): 0
Magnetization (μB/atom): 0.00

=====

An optimized crystal structure of TbY3Ho4, computed with PBE.

extended XYZ file:
```
16
Lattice="6.279 0.000 0.000 0.000 7.266 0.000 0.000 0.000 11.228" Properties=species:S:1:pos:R:3 pbc="T T T"
Y 6.165 4.551 8.424
Y 3.025 2.714 8.418
Y 3.025 2.714 2.810
Y 4.054 4.550 0.000
Y 6.165 4.551 2.804
Y 0.915 2.716 5.614
Ho 6.155 0.897 8.424
Ho 4.078 0.898 0.000
Ho 4.078 0.894 5.614
Ho 0.938 6.371 0.000
Ho 0.938 6.367 5.614
Ho 3.016 6.368 8.418
Ho 3.016 6.368 2.810
Ho 6.155 0.897 2.804
Tb 4.058 4.555 5.614
Tb 0.918 2.711 0.000
```

Output
Symmetry: Pmn2_1, No. 31
Raw total energy (Ha/atom): -0.194
Energy of formation (eV per atom): 0.00
Density of states at the Fermi level (states/eV per atom): 1.722
Theoretical density (g/cm³): 7.037
Distance to the lowest polymorph of the same formula (meV per atom): 0
Magnetization (μB/atom): 0.00

=====

An optimized crystal structure of TbY7Ho12, computed with PBE.

extended XYZ file:
```
20
Lattice="3.056 2.594 -8.844 4.263 -8.333 2.582 -9.635 -1.196 -0.126" Properties=species:S:1:pos:R:3 pbc="T T T"
Ho 0.480 -3.809 -0.946
Ho -2.797 -3.127 -5.443
Ho -0.108 1.643 -6.672
Ho -6.274 -1.324 -6.119
Ho 0.190 -1.086 -3.797
Ho -2.981 -2.024 -1.629
Ho -2.209 -8.579 0.284
Ho 3.853 -3.958 -6.931
Ho -2.506 -5.851 -2.591
Ho -6.169 -2.978 0.543
Ho 0.664 -4.912 -4.759
Ho 3.957 -5.612 -0.269
Y -2.686 -4.765 1.228
Y 1.528 1.297 -4.422
Y 2.131 -4.167 1.291
Y -3.290 0.699 -4.485
Y -1.158 -3.468 -3.194
Y -4.818 -0.598 -0.063
Y 3.659 -2.870 -3.131
Tb 0.000 0.000 0.000
```

Output
Symmetry: Im-3, No. 204
Raw total energy (Ha/atom): -0.165
Energy of formation (eV per atom): 0.74
Density of states at the Fermi level (states/eV per atom): 1.252
Theoretical density (g/cm³): 6.504
Magnetization (μB/atom): 0.00

=====

An optimized crystal structure of Tb5YHo, computed with PBE.

extended XYZ file:
```
14
Lattice="6.181 0.167 2.732 2.363 5.714 2.732 1.029 0.708 13.598" Properties=species:S:1:pos:R:3 pbc="T T T"
Tb 3.778 5.311 12.931
Tb 6.866 3.796 7.294
Tb 6.512 5.412 14.093
Tb 6.819 4.588 17.251
Tb 3.062 1.177 4.969
Tb 6.206 4.376 10.452
Tb 2.755 2.001 1.811
Tb 3.367 2.213 8.610
Tb 2.708 2.794 11.768
Tb 5.796 1.278 6.131
Y 0.515 0.354 6.799
Y 0.000 0.000 0.000
Ho 5.895 2.236 12.931
Ho 3.679 4.354 6.131
```

Output
Symmetry: C2/c, No. 15
Raw total energy (Ha/atom): -0.173
Energy of formation (eV per atom): 0.18
Density of states at the Fermi level (states/eV per atom): 1.186
Theoretical density (g/cm³): 7.705
Distance to the lowest polymorph of the same formula (meV per atom): 0
Magnetization (μB/atom): 0.00

=====

An optimized crystal structure of Tb6Y2Ho, computed with PBE.

extended XYZ file:
```
18
Lattice="6.588 -0.100 -0.097 1.702 9.378 -0.820 1.702 -0.515 9.400" Properties=species:S:1:pos:R:3 pbc="T T T"
Ho 6.643 8.115 0.335
Ho 3.349 0.648 8.148
Y 3.645 2.879 3.272
Y 6.939 3.314 2.723
Y 3.054 5.449 5.760
Y 6.348 5.883 5.211
Tb 5.105 2.857 6.433
Tb 7.603 4.476 8.344
Tb 4.939 1.979 0.159
Tb 5.683 0.228 4.231
Tb 4.309 8.535 4.252
Tb 2.389 4.287 0.139
Tb 1.593 2.291 5.884
Tb 5.054 6.784 8.325
Tb 1.645 0.273 2.021
Tb 8.399 6.472 2.599
Tb 8.348 8.490 6.462
Tb 4.887 5.905 2.050
```

Output
Symmetry: C2/c, No. 15
Raw total energy (Ha/atom): -0.181
Energy of formation (eV per atom): 0.11
Density of states at the Fermi level (states/eV per atom): 1.317
Theoretical density (g/cm³): 7.405
Distance to the lowest polymorph of the same formula (meV per atom): 96
Magnetization (μB/atom): 0.00

=====

An optimized crystal structure of TbY2Ho, computed with PBE.

extended XYZ file:
```
4
Lattice="5.681 0.000 0.000 2.840 4.920 0.000 2.840 1.640 4.638" Properties=species:S:1:pos:R:3 pbc="T T T"
Y 2.840 1.640 1.160
Y 8.521 4.920 3.479
Ho 5.681 3.280 2.319
Tb 0.000 0.000 0.000
```

Output
Symmetry: Fm-3m, No. 225
Raw total energy (Ha/atom): -0.198
Energy of formation (eV per atom): 0.14
Density of states at the Fermi level (states/eV per atom): 2.725
Theoretical density (g/cm³): 6.426
Distance to the lowest polymorph of the same formula (meV per atom): 132
Magnetization (μB/atom): 0.00

=====

An optimized crystal structure of Tb8Y6Ho, computed with PBE.

extended XYZ file:
```
15
Lattice="9.061 0.000 0.000 4.530 7.847 0.000 4.530 2.616 6.874" Properties=species:S:1:pos:R:3 pbc="T T T"
Y 12.996 5.910 6.043
Y 12.212 9.331 6.043
Y 5.910 1.131 0.831
Y 2.555 2.163 0.831
Y 5.126 4.552 0.831
Y 15.567 8.300 6.043
Tb 11.819 3.498 3.966
Tb 8.939 1.976 2.908
Tb 6.180 3.709 3.966
Tb 9.061 5.231 1.859
Tb 11.941 6.753 2.908
Tb 6.303 6.965 2.908
Tb 9.183 8.487 3.966
Tb 9.061 5.231 5.014
Ho 0.000 0.000 0.000
```

Output
Symmetry: R-3, No. 148
Raw total energy (Ha/atom): -0.193
Energy of formation (eV per atom): 0.12
Density of states at the Fermi level (states/eV per atom): 1.623
Theoretical density (g/cm³): 6.693
Magnetization (μB/atom): 0.00